Model a:
Material: TlBi3Se
Method: DFT, PBE-GGA
State: relaxed

a = 5.8106 Å, b = 5.8106 Å, c = 5.8106 Å
α = 90.00°, β = 90.00°, γ = 90.00°
Closest atoms and distances in Å follow each position.
Space group Pm-3m (No. 221)
Asymmetric unit:
1 Tl 0.0000 0.0000 0.0000 (multiplicity 1)  6 Bi 2.91
2 Bi 0.0000 0.0000 0.5000 (multiplicity 3)  2 Tl 2.91
3 Se 0.5000 0.5000 0.5000 (multiplicity 1)  12 Bi 4.11

Model b:
Material: TlBi3Se
Method: DFT, PBE-GGA
State: relaxed

a = 5.6942 Å, b = 5.6942 Å, c = 5.6942 Å
α = 90.00°, β = 90.00°, γ = 90.00°
Closest atoms and distances in Å follow each position.
Space group Pm-3m (No. 221)
Asymmetric unit:
1 Tl 0.0000 0.0000 0.0000 (multiplicity 1)  12 Bi 4.03
2 Bi 0.0000 0.5000 0.5000 (multiplicity 3)  2 Se 2.85
3 Se 0.5000 0.5000 0.5000 (multiplicity 1)  6 Bi 2.85

Most stable to least stable, the ends of the list are model b and model a.

Model a:
Material: Tm2BiSe
Method: DFT, PBE-GGA
State: relaxed

a = 4.2257 Å, b = 4.2257 Å, c = 20.7291 Å
α = 90.00°, β = 90.00°, γ = 120.00°
Closest atoms and distances in Å follow each position.
Space group R-3m (No. 166, hexagonal axes)
Asymmetric unit:
1 Tm 0.0000 0.0000 0.2425 (multiplicity 6)  3 Se 2.90, 3 Bi 3.08
2 Bi 0.0000 0.0000 0.0000 (multiplicity 3)  6 Tm 3.08
3 Se 0.0000 0.0000 0.5000 (multiplicity 3)  6 Tm 2.90

Model b:
Material: Tm2BiSe
Method: DFT, PBE-GGA
State: relaxed

a = 4.1551 Å, b = 4.1551 Å, c = 21.6387 Å
α = 90.00°, β = 90.00°, γ = 120.00°
Closest atoms and distances in Å follow each position.
Space group R3m (No. 160, hexagonal axes)
Asymmetric unit:
1 Tm 0.0000 0.0000 0.0000 (multiplicity 3)  3 Se 2.94, 3 Bi 3.12
2 Tm 0.0000 0.0000 0.1832 (multiplicity 3)  3 Se 2.86, 3 Bi 3.11
3 Bi 0.0000 0.0000 0.7585 (multiplicity 3)  6 Tm 3.11-3.12
4 Se 0.0000 0.0000 0.5882 (multiplicity 3)  6 Tm 2.86-2.94

Most stable to least stable, the ends of the list are model a and model b.

Model a:
Material: V2BiSe
Method: DFT, PBE-GGA
State: relaxed

a = 6.1189 Å, b = 6.1189 Å, c = 11.7349 Å
α = 90.00°, β = 90.00°, γ = 90.00°
Closest atoms and distances in Å follow each position.
Space group I-42d (No. 122)
Asymmetric unit:
1 V 0.2111 0.2500 0.1250 (multiplicity 8)  2 Se 2.48, 2 Bi 2.76
2 Bi 0.0000 0.0000 0.5000 (multiplicity 4)  4 V 2.76
3 Se 0.0000 0.0000 0.0000 (multiplicity 4)  4 V 2.48

Model b:
Material: V2BiSe
Method: DFT, PBE-GGA
State: relaxed

a = 6.5601 Å, b = 6.5601 Å, c = 6.5601 Å
α = 90.00°, β = 90.00°, γ = 90.00°
Closest atoms and distances in Å follow each position.
Space group Fm-3m (No. 225)
Asymmetric unit:
1 V 0.2500 0.2500 0.2500 (multiplicity 8)  4 Bi 2.84, 4 Se 2.84
2 Bi 0.0000 0.0000 0.0000 (multiplicity 4)  8 V 2.84
3 Se 0.0000 0.0000 0.5000 (multiplicity 4)  8 V 2.84

Most stable to least stable, the ends of the list are model a and model b.

Model a:
Material: VBiSe3
Method: DFT, PBE-GGA
State: relaxed

a = 4.9156 Å, b = 4.9156 Å, c = 4.9156 Å
α = 90.00°, β = 90.00°, γ = 90.00°
Closest atoms and distances in Å follow each position.
Space group Pm-3m (No. 221)
Asymmetric unit:
1 V 0.0000 0.0000 0.0000 (multiplicity 1)  6 Se 2.46
2 Bi 0.5000 0.5000 0.5000 (multiplicity 1)  12 Se 3.48
3 Se 0.0000 0.0000 0.5000 (multiplicity 3)  2 V 2.46

Model b:
Material: VBiSe3
Method: DFT, PBE-GGA
State: relaxed

a = 14.6394 Å, b = 3.8904 Å, c = 10.4911 Å
α = 90.00°, β = 119.34°, γ = 90.00°
Closest atoms and distances in Å follow each position.
Space group C2/m (No. 12)
Asymmetric unit:
1 V 0.2384 0.0000 0.1162 (multiplicity 4)  5 Se 2.45-2.61
2 Bi 0.1261 0.0000 0.3449 (multiplicity 4)  5 Se 2.82-2.97
3 Se 0.1238 0.5000 0.1291 (multiplicity 4)  2 V 2.61
4 Se 0.1355 0.0000 0.8491 (multiplicity 4)  3 V 2.45-2.58
5 Se 0.1588 0.5000 0.5693 (multiplicity 4)  3 Bi 2.82-2.91, 1 V 2.88

Most stable to least stable, the ends of the list are model b and model a.

Model a:
Material: BiW2Se
Method: DFT, PBE-GGA
State: relaxed

a = 6.6281 Å, b = 6.6281 Å, c = 6.6281 Å
α = 90.00°, β = 90.00°, γ = 90.00°
Closest atoms and distances in Å follow each position.
Space group Fm-3m (No. 225)
Asymmetric unit:
1 Bi 0.0000 0.0000 0.0000 (multiplicity 4)  8 W 2.87
2 W 0.2500 0.2500 0.2500 (multiplicity 8)  4 Se 2.87, 4 Bi 2.87
3 Se 0.0000 0.0000 0.5000 (multiplicity 4)  8 W 2.87

Model b:
Material: BiW2Se
Method: DFT, PBE-GGA
State: relaxed

a = 4.4594 Å, b = 4.4594 Å, c = 17.6133 Å
α = 90.00°, β = 90.00°, γ = 90.00°
Closest atoms and distances in Å follow each position.
Space group I-42d (No. 122)
Asymmetric unit:
1 Bi 0.0000 0.0000 0.0000 (multiplicity 4)  4 W 2.89, 4 Se 3.15
2 W 0.1613 0.2500 0.6250 (multiplicity 8)  2 Se 2.57, 2 W 2.65
3 Se 0.0000 0.0000 0.5000 (multiplicity 4)  4 W 2.57

Most stable to least stable, the ends of the list are model b and model a.

Model a:
Material: Zn3BiSe
Method: DFT, PBE-GGA
State: relaxed

a = 5.2936 Å, b = 5.2936 Å, c = 5.2936 Å
α = 90.00°, β = 90.00°, γ = 90.00°
Closest atoms and distances in Å follow each position.
Space group Pm-3m (No. 221)
Asymmetric unit:
1 Zn 0.0000 0.0000 0.5000 (multiplicity 3)  2 Bi 2.65
2 Bi 0.0000 0.0000 0.0000 (multiplicity 1)  6 Zn 2.65
3 Se 0.5000 0.5000 0.5000 (multiplicity 1)  12 Zn 3.74

Model b:
Material: Zn3BiSe
Method: DFT, PBE-GGA
State: relaxed

a = 4.9611 Å, b = 4.9611 Å, c = 4.9611 Å
α = 90.00°, β = 90.00°, γ = 90.00°
Closest atoms and distances in Å follow each position.
Space group Pm-3m (No. 221)
Asymmetric unit:
1 Zn 0.0000 0.0000 0.5000 (multiplicity 3)  2 Se 2.48
2 Bi 0.5000 0.5000 0.5000 (multiplicity 1)  12 Zn 3.51
3 Se 0.0000 0.0000 0.0000 (multiplicity 1)  6 Zn 2.48

Most stable to least stable, the ends of the list are model b and model a.

Model a:
Material: ZnBiSe2
Method: DFT, PBE-GGA
State: relaxed

a = 6.9442 Å, b = 6.9442 Å, c = 9.2436 Å
α = 90.00°, β = 90.00°, γ = 90.00°
Closest atoms and distances in Å follow each position.
Space group I-42d (No. 122)
Asymmetric unit:
1 Zn 0.0000 0.0000 0.0000 (multiplicity 4)  4 Se 2.50
2 Bi 0.0000 0.0000 0.5000 (multiplicity 4)  4 Se 2.95
3 Se 0.1995 0.2500 0.1250 (multiplicity 8)  2 Zn 2.50

Model b:
Material: ZnBiSe2
Method: DFT, PBE-GGA
State: relaxed

a = 4.6285 Å, b = 4.6285 Å, c = 22.7971 Å
α = 90.00°, β = 90.00°, γ = 120.00°
Closest atoms and distances in Å follow each position.
Space group R-3m (No. 166, hexagonal axes)
Asymmetric unit:
1 Zn 0.0000 0.0000 0.0000 (multiplicity 3)  2 Se 2.35
2 Bi 0.0000 0.0000 0.5000 (multiplicity 3)  6 Se 3.04
3 Se 0.0000 0.0000 0.1029 (multiplicity 6)  1 Zn 2.35

Model c:
Material: ZnBiSe2
Method: DFT, PBE-GGA
State: relaxed

a = 3.6528 Å, b = 3.6528 Å, c = 26.5192 Å
α = 90.00°, β = 90.00°, γ = 120.00°
Closest atoms and distances in Å follow each position.
Space group R-3m (No. 166, hexagonal axes)
Asymmetric unit:
1 Zn 0.0000 0.0000 0.0000 (multiplicity 3)  6 Se 2.60
2 Bi 0.0000 0.0000 0.5000 (multiplicity 3)  2 Se 2.90
3 Se 0.0000 0.0000 0.3905 (multiplicity 6)  3 Zn 2.60, 1 Bi 2.90

Most stable to least stable, the ends of the list are model a and model b.

Model a:
Material: Zr2BiSe
Method: DFT, PBE-GGA
State: relaxed

a = 7.0629 Å, b = 7.0629 Å, c = 7.0629 Å
α = 90.00°, β = 90.00°, γ = 90.00°
Closest atoms and distances in Å follow each position.
Space group Fm-3m (No. 225)
Asymmetric unit:
1 Zr 0.2500 0.2500 0.2500 (multiplicity 8)  4 Se 3.06, 4 Bi 3.06
2 Bi 0.0000 0.0000 0.0000 (multiplicity 4)  8 Zr 3.06
3 Se 0.0000 0.0000 0.5000 (multiplicity 4)  8 Zr 3.06

Model b:
Material: Zr2BiSe
Method: DFT, PBE-GGA
State: relaxed

a = 3.9381 Å, b = 3.9381 Å, c = 21.0056 Å
α = 90.00°, β = 90.00°, γ = 120.00°
Closest atoms and distances in Å follow each position.
Space group R3m (No. 160, hexagonal axes)
Asymmetric unit:
1 Zr 0.0000 0.0000 0.0000 (multiplicity 3)  3 Se 2.70
2 Zr 0.0000 0.0000 0.1961 (multiplicity 3)  3 Se 2.69
3 Bi 0.0000 0.0000 0.7659 (multiplicity 3)  6 Zr 3.05-3.09
4 Se 0.0000 0.0000 0.5977 (multiplicity 3)  6 Zr 2.69-2.70

Model c:
Material: Zr2BiSe
Method: DFT, PBE-GGA
State: relaxed

a = 5.6954 Å, b = 5.6954 Å, c = 15.2713 Å
α = 90.00°, β = 90.00°, γ = 90.00°
Closest atoms and distances in Å follow each position.
Space group I-42d (No. 122)
Asymmetric unit:
1 Zr 0.1862 0.2500 0.1250 (multiplicity 8)  2 Se 2.61
2 Bi 0.0000 0.0000 0.5000 (multiplicity 4)  4 Zr 2.98
3 Se 0.0000 0.0000 0.0000 (multiplicity 4)  4 Zr 2.61

Most stable to least stable, the ends of the list are model b and model c.

Model a:
Material: Zr3BiSe
Method: DFT, PBE-GGA
State: relaxed

a = 4.1600 Å, b = 9.5918 Å, c = 12.2720 Å
α = 90.00°, β = 90.00°, γ = 90.00°
Closest atoms and distances in Å follow each position.
Space group Amm2 (No. 38)
Asymmetric unit:
1 Zr 0.0000 0.0000 0.0000 (multiplicity 2)  2 Se 2.53
2 Zr 0.0000 0.0000 0.3664 (multiplicity 2)  2 Se 2.54
3 Zr 0.5000 0.1843 0.8122 (multiplicity 4)  2 Se 2.63
4 Zr 0.5000 0.1845 0.5535 (multiplicity 4)  2 Se 2.63
5 Bi 0.0000 0.0000 0.6827 (multiplicity 2)  8 Zr 3.16
6 Bi 0.5000 0.0000 0.1831 (multiplicity 2)  8 Zr 3.06-3.42
7 Se 0.0000 0.2503 0.4329 (multiplicity 4)  6 Zr 2.53-2.63

Model b:
Material: Zr3BiSe
Method: DFT, PBE-GGA
State: relaxed

a = 5.4558 Å, b = 5.4558 Å, c = 5.4558 Å
α = 90.00°, β = 90.00°, γ = 90.00°
Closest atoms and distances in Å follow each position.
Space group Pm-3m (No. 221)
Asymmetric unit:
1 Zr 0.0000 0.0000 0.5000 (multiplicity 3)  2 Bi 2.73
2 Bi 0.0000 0.0000 0.0000 (multiplicity 1)  6 Zr 2.73
3 Se 0.5000 0.5000 0.5000 (multiplicity 1)  12 Zr 3.86

Most stable to least stable, the ends of the list are model a and model b.

Model a:
Material: ZrBiSe
Method: DFT, PBE-GGA
State: relaxed

a = 3.6434 Å, b = 3.6434 Å, c = 7.3292 Å
α = 90.00°, β = 90.00°, γ = 120.00°
Closest atoms and distances in Å follow each position.
Space group P3m1 (No. 156)
Asymmetric unit:
1 Zr 0.0000 0.0000 0.0000 (multiplicity 1)  3 Se 2.65
2 Bi 0.3333 0.6667 0.6753 (multiplicity 1)  3 Zr 3.18
3 Se 0.6667 0.3333 0.2203 (multiplicity 1)  3 Zr 2.65

Model b:
Material: ZrBiSe
Method: DFT, PBE-GGA
State: relaxed

a = 3.3822 Å, b = 3.3822 Å, c = 14.4379 Å
α = 90.00°, β = 90.00°, γ = 90.00°
Closest atoms and distances in Å follow each position.
Space group I4mm (No. 107)
Asymmetric unit:
1 Zr 0.0000 0.0000 0.0000 (multiplicity 2)  4 Se 2.75
2 Bi 0.0000 0.0000 0.3372 (multiplicity 2)  4 Zr 3.35, 4 Bi 3.38, 1 Se 3.71
3 Se 0.0000 0.0000 0.5940 (multiplicity 2)  4 Zr 2.75

Most stable to least stable, the ends of the list are model a and model b.

Model a:
Material: SiSn2Bi
Method: DFT, PBE-GGA
State: relaxed

a = 7.4616 Å, b = 7.4616 Å, c = 7.4616 Å
α = 90.00°, β = 90.00°, γ = 90.00°
Closest atoms and distances in Å follow each position.
Space group Fm-3m (No. 225)
Asymmetric unit:
1 Si 0.0000 0.0000 0.0000 (multiplicity 4)  8 Sn 3.23
2 Sn 0.2500 0.2500 0.2500 (multiplicity 8)  4 Bi 3.23, 4 Si 3.23
3 Bi 0.0000 0.0000 0.5000 (multiplicity 4)  8 Sn 3.23

Model b:
Material: SiSn2Bi
Method: DFT, PBE-GGA
State: relaxed

a = 6.6101 Å, b = 6.6101 Å, c = 12.6782 Å
α = 90.00°, β = 90.00°, γ = 90.00°
Closest atoms and distances in Å follow each position.
Space group I-42d (No. 122)
Asymmetric unit:
1 Si 0.0000 0.0000 0.0000 (multiplicity 4)  4 Sn 2.64
2 Sn 0.2003 0.2500 0.1250 (multiplicity 8)  2 Si 2.64
3 Bi 0.0000 0.0000 0.5000 (multiplicity 4)  4 Sn 3.03

Most stable to least stable, the ends of the list are model b and model a.

Model a:
Material: SrSiBi3
Method: DFT, PBE-GGA
State: relaxed

a = 5.5444 Å, b = 5.5444 Å, c = 5.5444 Å
α = 90.00°, β = 90.00°, γ = 90.00°
Closest atoms and distances in Å follow each position.
Space group Pm-3m (No. 221)
Asymmetric unit:
1 Sr 0.0000 0.0000 0.0000 (multiplicity 1)  12 Bi 3.92
2 Si 0.5000 0.5000 0.5000 (multiplicity 1)  6 Bi 2.77
3 Bi 0.0000 0.5000 0.5000 (multiplicity 3)  2 Si 2.77

Model b:
Material: SrSiBi3
Method: DFT, PBE-GGA
State: relaxed

a = 6.0364 Å, b = 6.0364 Å, c = 6.0364 Å
α = 90.00°, β = 90.00°, γ = 90.00°
Closest atoms and distances in Å follow each position.
Space group Pm-3m (No. 221)
Asymmetric unit:
1 Sr 0.0000 0.0000 0.0000 (multiplicity 1)  6 Bi 3.02
2 Si 0.5000 0.5000 0.5000 (multiplicity 1)  12 Bi 4.27
3 Bi 0.0000 0.0000 0.5000 (multiplicity 3)  2 Sr 3.02

Most stable to least stable, the ends of the list are model a and model b.

Model a:
Material: Sr2Si2Bi
Method: DFT, PBE-GGA
State: relaxed

a = 7.8245 Å, b = 7.8245 Å, c = 4.6363 Å
α = 90.00°, β = 90.00°, γ = 90.00°
Closest atoms and distances in Å follow each position.
Space group P4/mbm (No. 127)
Asymmetric unit:
1 Sr 0.1808 0.3192 0.0000 (multiplicity 4)  6 Si 3.28-3.30
2 Si 0.1072 0.6072 0.5000 (multiplicity 4)  1 Si 2.37
3 Bi 0.0000 0.0000 0.5000 (multiplicity 2)  4 Si 3.19

Model b:
Material: Sr2Si2Bi
Method: DFT, PBE-GGA
State: relaxed

a = 5.4971 Å, b = 5.4971 Å, c = 10.8214 Å
α = 90.00°, β = 90.00°, γ = 90.00°
Closest atoms and distances in Å follow each position.
Space group I4/mmm (No. 139)
Asymmetric unit:
1 Sr 0.0000 0.5000 0.2500 (multiplicity 4)  4 Si 3.19
2 Si 0.0000 0.0000 0.1009 (multiplicity 4)  1 Si 2.18
3 Bi 0.0000 0.0000 0.5000 (multiplicity 2)  8 Sr 3.86, 10 Si 4.04-4.32

Most stable to least stable, the ends of the list are model a and model b.